Here is an optimized crystal structure of HgWAu from the Alexandria database. Energies are from PBE-GGA.

Output
- SG = No. 107
- energy of formation (meV/atom) = 532
- E above lowest polymorph (kJ/mol of formula units) = 1
- energy (eV per cell) = -29.87

Cell lengths 2.876, 2.876, 13.175 Å; angles 90.00, 90.00, 90.00 degrees
Fractional coordinates of all 6 atoms:
1 Hg 0.000 0.000 0.000
2 Hg 0.500 0.500 0.500
3 W 0.000 0.000 0.669
4 W 0.500 0.500 0.169
5 Au 0.000 0.000 0.320
6 Au 0.500 0.500 0.820